1.
A relaxed structure of YTlCoMo, computed with PBE.

Computed properties:
The calculation puts the distance to the lowest polymorph of the same formula at 78 meV/atom. The calculation puts the volume at 77.3 Å³/cell. Its total DFT energy (no corrections) is -6.108 eV per atom. For the total magnetization, the calculation gives 2.99 μB/f.u. As for the crystal system: cubic.

Lattice parameters (Å, degrees): 4.782 4.782 4.782 60.00 60.00 60.00
Element x y z (fractional)
Co 0.750 0.750 0.750
Y 0.250 0.250 0.250
Tl 0.000 0.000 0.000
Mo 0.500 0.500 0.500

2.
A relaxed structure of YTlCoMo, computed with PBE.

Computed properties:
The calculation puts the distance to the lowest polymorph of the same formula at 0 meV/atom. The calculation puts the volume at 74.9 Å³/cell. Its total DFT energy (no corrections) is -6.186 eV per atom. For the total magnetization, the calculation gives 2.93 μB/f.u. As for the crystal system: cubic.

Lattice parameters (Å, degrees): 4.732 4.732 4.732 60.00 60.00 60.00
Element x y z (fractional)
Y 0.500 0.500 0.500
Co 0.750 0.750 0.750
Tl 0.000 0.000 0.000
Mo 0.250 0.250 0.250

3.
A relaxed structure of TlZnCoMo, computed with PBE.

Computed properties:
The calculation puts the distance to the lowest polymorph of the same formula at 0 meV/atom. The calculation puts the volume at 63.3 Å³/cell. Its total DFT energy (no corrections) is -4.813 eV per atom. For the total magnetization, the calculation gives 2.03 μB/f.u. As for the crystal system: cubic.

Lattice parameters (Å, degrees): 4.473 4.473 4.473 60.00 60.00 60.00
Element x y z (fractional)
Zn 0.250 0.250 0.250
Tl 0.000 0.000 0.000
Mo 0.500 0.500 0.500
Co 0.750 0.750 0.750

4.
A relaxed structure of TlZnCoMo, computed with PBE.

Computed properties:
The calculation puts the distance to the lowest polymorph of the same formula at 47 meV/atom. The calculation puts the volume at 64.1 Å³/cell. Its total DFT energy (no corrections) is -4.766 eV per atom. For the total magnetization, the calculation gives 2.52 μB/f.u. As for the crystal system: cubic.

Lattice parameters (Å, degrees): 4.493 4.493 4.493 60.00 60.00 60.00
Element x y z (fractional)
Mo 0.250 0.250 0.250
Co 0.750 0.750 0.750
Tl 0.000 0.000 0.000
Zn 0.500 0.500 0.500

- What is the formula in the fourth record?
  TlZnCoMo

Please write out number 4 again, unchanged.
A relaxed structure of TlZnCoMo, computed with PBE.

Computed properties:
The calculation puts the distance to the lowest polymorph of the same formula at 47 meV/atom. The calculation puts the volume at 64.1 Å³/cell. Its total DFT energy (no corrections) is -4.766 eV per atom. For the total magnetization, the calculation gives 2.52 μB/f.u. As for the crystal system: cubic.

Lattice parameters (Å, degrees): 4.493 4.493 4.493 60.00 60.00 60.00
Element x y z (fractional)
Mo 0.250 0.250 0.250
Co 0.750 0.750 0.750
Tl 0.000 0.000 0.000
Zn 0.500 0.500 0.500

- The highest total magnetization belongs to which entry?
  number 1

- total magnetization of number 3 (TlZnCoMo)?
  2.03 μB/f.u.